Entry from Alexandria: a geometry-optimized SrEuNiO4 structure (PBE with a Hubbard U).

abc: 6.7002 6.7002 5.4278
angles: 90.00 90.00 132.29
Fractional positions:
Sr1 0.1067 0.8933 0.7500
Sr2 0.8933 0.1067 0.2500
Eu1 0.3872 0.6128 0.7500
Eu2 0.6128 0.3872 0.2500
Ni1 0.2509 0.7491 0.2500
Ni2 0.7491 0.2509 0.7500
O1 0.0000 0.5000 0.0000
O2 0.0000 0.5000 0.5000
O3 0.0917 0.9083 0.2500
O4 0.4202 0.5798 0.2500
O5 0.5000 0.0000 0.0000
O6 0.5000 0.0000 0.5000
O7 0.5798 0.4202 0.7500
O8 0.9083 0.0917 0.7500

Computed properties:
Uncorrected energy: -6.94 eV/atom
DOS at the Fermi energy: 18.8 states/eV per cell